K4Rb5In2 | PBE | relaxed

The structure in POSCAR format:
```
K4Rb5In2
1.0
14.794 -2.533 0.000
14.794 2.533 0.000
-0.911 0.000 10.594
K Rb In
4 5 2
direct
0.054 0.054 0.153
0.354 0.354 0.567
0.646 0.646 0.433
0.946 0.946 0.847
0.126 0.126 0.781
0.232 0.232 0.187
0.500 0.500 0.500
0.768 0.768 0.813
0.874 0.874 0.219
0.231 0.231 0.546
0.769 0.769 0.454
```

Properties
Mass density   1.70 g/cm3
DFT formation energy   -0.001 eV/atom
Space group   C2/m
Total magnetization   0.000 μB per atom